[1]
Below is Ag2PbCl after structural relaxation, with properties calculated at the GGA-PBE level.

The structure in POSCAR format:
```
Ag2PbCl
1.0
-2.664 -2.285 -0.509
2.500 -3.225 1.393
-1.937 0.979 5.744
Pb Ag Cl
1 2 1
Cartesian
-1.535 -2.021 4.750
-1.912 0.966 5.669
-0.994 0.502 2.947
-0.567 -2.510 1.878
```

Calculated values
N(E_F)	0.277	states/eV/atom


[2]
Below is AgPbCl after structural relaxation, with properties calculated at the GGA-PBE level.

The structure in POSCAR format:
```
AgPbCl
1.0
3.794 0.000 0.000
-1.897 3.286 0.000
0.000 0.000 6.231
Pb Ag Cl
1 1 1
Cartesian
0.000 2.191 4.265
0.000 0.000 0.129
1.897 1.095 1.837
```

Calculated values
N(E_F)	0.079	states/eV/atom


[3]
Below is AgPb3Cl8 after structural relaxation, with properties calculated at the GGA-PBE level.

The structure in POSCAR format:
```
AgPb3Cl8
1.0
5.486 0.000 -1.615
-0.700 8.839 -2.377
-0.284 0.292 9.159
Ag Pb Cl
1 3 8
Cartesian
0.959 6.391 3.258
1.731 2.761 5.879
3.559 2.828 1.966
2.791 6.319 -0.644
1.623 5.666 5.511
1.081 8.921 3.672
4.393 2.850 4.796
0.909 2.971 3.087
3.575 5.901 2.019
0.249 6.411 0.846
2.772 3.317 -0.709
3.381 0.181 1.360
```

Calculated values
N(E_F)	0.532	states/eV/atom


[4]
Below is Ag2PbCl after structural relaxation, with properties calculated at the GGA-PBE level.

The structure in POSCAR format:
```
Ag2PbCl
1.0
6.231 -0.038 0.000
3.491 5.161 0.000
-4.861 -2.561 2.938
Pb Ag Cl
1 2 1
Cartesian
3.115 -0.019 1.469
0.000 0.000 0.000
4.861 2.561 0.000
1.746 2.580 1.469
```

Calculated values
N(E_F)	0.312	states/eV/atom


[5]
Below is Ag3Pb2Cl8 after structural relaxation, with properties calculated at the GGA-PBE level.

The structure in POSCAR format:
```
Ag3Pb2Cl8
1.0
7.095 0.000 0.434
0.000 7.641 0.000
-2.393 -3.820 6.746
Ag Pb Cl
3 2 8
Cartesian
3.547 0.000 0.217
0.000 1.957 0.000
0.000 5.684 0.000
1.061 0.000 3.673
3.640 3.820 3.507
6.124 3.820 1.935
-1.422 0.000 5.245
6.123 0.000 1.889
-1.421 3.820 5.291
2.271 2.006 5.378
2.271 -2.006 5.378
2.430 5.826 1.802
2.430 1.814 1.802
```

Calculated values
N(E_F)	0.969	states/eV/atom


[6]
Below is AgPb2Cl6 after structural relaxation, with properties calculated at the GGA-PBE level.

The structure in POSCAR format:
```
AgPb2Cl6
1.0
-4.836 -0.588 4.470
2.699 -5.629 2.179
6.920 6.549 8.347
Ag Pb Cl
2 4 12
Cartesian
-1.069 -3.108 3.325
3.460 3.274 4.174
1.242 -0.921 6.113
3.540 1.253 8.884
1.149 1.087 1.386
5.771 5.462 6.962
-0.454 -3.337 5.848
4.411 1.267 11.717
1.969 -1.061 8.810
-3.349 -1.583 4.018
-0.948 0.740 6.962
1.107 2.685 9.441
3.676 -2.353 5.556
5.731 -0.409 8.035
1.212 -4.634 2.631
2.813 1.393 6.186
0.372 -0.935 3.280
5.236 3.669 9.148
```

Calculated values
N(E_F)	0.530	states/eV/atom


| no. | final energy (eV per formula unit) |
| --- | --- |
| 1 | -11.28 |
| 2 | -9.22 |
| 3 | -39.48 |
| 4 | -11.36 |
| 5 | -40.22 |
| 6 | -29.01 |